Entry 1:
DFT (PBE) results for a relaxed SmY2Er2Tm4 crystal.

Formation energy from the elements   0.091 eV per atom
Crystal system   triclinic
VASP energy   -4.87 eV/atom

Unit cell a=5.9838 b=6.6202 c=8.5166 alpha=79.05 beta=69.62 gamma=63.56
Space group P-1 (No. 2)
Unique sites:
Sm1 0.0000 0.0000 0.0000 [1 per cell]
Y1 0.2667 0.6695 0.6586 [2 per cell]
Er1 0.1828 0.2235 0.5537 [2 per cell]
Tm1 0.2702 0.4222 0.1209 [2 per cell]
Tm2 0.3846 0.8735 0.2361 [2 per cell]

Entry 2:
DFT (PBE) results for a relaxed Sm4Y2ErTm2 crystal.

Formation energy from the elements   0.022 eV per atom
Crystal system   monoclinic
VASP energy   -5.01 eV/atom

Unit cell a=15.1590 b=5.0460 c=7.9869 alpha=90.00 beta=108.42 gamma=90.00
Space group C2/m (No. 12)
Unique sites:
Sm1 0.0549 0.0000 0.3297 [4 per cell]
Sm2 0.2220 0.5000 0.3309 [4 per cell]
Y1 0.1117 0.5000 0.6695 [4 per cell]
Er1 0.0000 0.5000 0.0000 [2 per cell]
Tm1 0.1669 0.0000 0.0001 [4 per cell]

Entry 3:
DFT (PBE) results for a relaxed SmErTmZn crystal.

Formation energy from the elements   -0.167 eV per atom
E above lowest polymorph   0.000 eV per atom
Crystal system   tetragonal
VASP energy   -3.92 eV/atom

Unit cell a=3.5422 b=3.5422 c=8.6515 alpha=90.00 beta=90.00 gamma=90.00
Space group P4mm (No. 99)
Unique sites:
Sm1 0.0000 0.0000 0.0000 [1 per cell]
Er1 0.5000 0.5000 0.7017 [1 per cell]
Tm1 0.5000 0.5000 0.2969 [1 per cell]
Zn1 0.0000 0.0000 0.4978 [1 per cell]

Entry 4:
DFT (PBE) results for a relaxed SmErTmZn crystal.

Formation energy from the elements   0.034 eV per atom
E above lowest polymorph   0.201 eV per atom
Crystal system   cubic
VASP energy   -3.72 eV/atom

Unit cell a=7.5325 b=7.5325 c=7.5325 alpha=90.00 beta=90.00 gamma=90.00
Space group F-43m (No. 216)
Unique sites:
Sm1 0.0000 0.0000 0.0000 [4 per cell]
Er1 0.0000 0.0000 0.5000 [4 per cell]
Tm1 0.2500 0.2500 0.2500 [4 per cell]
Zn1 0.2500 0.2500 0.7500 [4 per cell]

Entry 5:
DFT (PBE) results for a relaxed Sm2Er6Tm3Zr crystal.

Formation energy from the elements   0.050 eV per atom
Crystal system   monoclinic
VASP energy   -4.85 eV/atom

Unit cell a=6.0516 b=10.4626 c=11.5640 alpha=90.00 beta=99.98 gamma=90.00
Space group C2/m (No. 12)
Unique sites:
Sm1 0.0000 0.1669 0.0000 [4 per cell]
Er1 0.2434 0.5000 0.7526 [4 per cell]
Er2 0.2466 0.3366 0.2480 [8 per cell]
Tm1 0.0000 0.0000 0.5000 [2 per cell]
Tm2 0.0000 0.3336 0.5000 [4 per cell]
Zr1 0.0000 0.5000 0.0000 [2 per cell]

Entry 6:
DFT (PBE) results for a relaxed SmEr2V crystal.

Formation energy from the elements   0.606 eV per atom
Crystal system   trigonal
VASP energy   -5.13 eV/atom

Unit cell a=3.3630 b=3.3630 c=34.3285 alpha=90.00 beta=90.00 gamma=120.00
Space group R-3m (No. 166, hexagonal axes)
Unique sites:
Sm1 0.0000 0.0000 0.0000 [3 per cell]
Er1 0.0000 0.0000 0.4188 [6 per cell]
V1 0.0000 0.0000 0.5000 [3 per cell]

Entry 7:
DFT (PBE) results for a relaxed SmErV4 crystal.

Formation energy from the elements   0.373 eV per atom
Crystal system   cubic
VASP energy   -7.25 eV/atom

Unit cell a=7.6180 b=7.6180 c=7.6180 alpha=90.00 beta=90.00 gamma=90.00
Space group F-43m (No. 216)
Unique sites:
Sm1 0.0000 0.0000 0.0000 [4 per cell]
Er1 0.2500 0.2500 0.7500 [4 per cell]
V1 0.1206 0.1206 0.3794 [16 per cell]

Entry 8:
DFT (PBE) results for a relaxed SmErV crystal.

Formation energy from the elements   0.407 eV per atom
Crystal system   monoclinic
VASP energy   -5.73 eV/atom

Unit cell a=11.0216 b=5.3356 c=6.6062 alpha=90.00 beta=126.62 gamma=90.00
Space group Cm (No. 8)
Unique sites:
Sm1 0.0000 0.0000 0.0000 [2 per cell]
Sm2 0.1372 0.5000 0.3936 [2 per cell]
Er1 0.1410 0.5000 0.8947 [2 per cell]
Er2 0.2785 0.0000 0.7853 [2 per cell]
V1 0.3389 0.0000 0.3447 [2 per cell]
V2 0.4391 0.5000 0.4445 [2 per cell]

| no. | total magnetization (μB per formula unit) |
| --- | --- |
| 1 | 0.0 |
| 2 | 0.0 |
| 3 | 0.0 |
| 4 | 0.0 |
| 5 | 0.0 |
| 6 | 3.1 |
| 7 | 0.0 |
| 8 | 2.6 |